The following is a DFT calculation (PBE) of SrFeP2Rh after structural relaxation.

a = 6.4800 Å, b = 6.4800 Å, c = 6.4800 Å
α = 145.07°, β = 145.07°, γ = 50.23°
Last column: nearest neighbours and their distance in Å.
Positions (direct):
Sr  0.0000  0.0000  0.0000  8 P 3.25, 4 Fe 3.52, 4 Rh 3.52
Fe  0.2500  0.7500  0.5000  4 P 2.29
P  0.3530  0.3530  0.0000  2 Rh 2.29, 2 Fe 2.29
P  0.6470  0.6470  0.0000  2 Fe 2.29, 2 Rh 2.29
Rh  0.7500  0.2500  0.5000  4 P 2.29

Calculated values
Size of the total moment (μB per formula unit): 0.000
Density (Mg/m³): 5.77
ΔE_f (eV per formula unit): -4.4
Crystal system: tetragonal

The following is a DFT calculation (PBE) of BePPt2 after structural relaxation.

a = 4.1922 Å, b = 4.1922 Å, c = 3.0565 Å
α = 90.00°, β = 90.00°, γ = 90.00°
Last column: nearest neighbours and their distance in Å.
Positions (direct):
Be  0.0000  0.0000  0.0000  8 Pt 2.59
P  0.5000  0.5000  0.0000  8 Pt 2.59
Pt  0.0000  0.5000  0.5000  4 P 2.59, 4 Be 2.59
Pt  0.5000  0.0000  0.5000  4 P 2.59, 4 Be 2.59

Calculated values
Size of the total moment (μB per formula unit): 0.000
Density (Mg/m³): 13.30
ΔE_f (eV per formula unit): -0.8
ΔE to the lowest computed polymorph (eV/f.u.): 1.12
Crystal system: tetragonal

The following is a DFT calculation (PBE) of CdSiNF2 after structural relaxation.

a = 4.2485 Å, b = 4.2485 Å, c = 4.4795 Å
α = 90.00°, β = 90.00°, γ = 90.00°
Last column: nearest neighbours and their distance in Å.
Positions (direct):
Cd  0.0000  0.0000  0.0000  4 F 2.12, 2 N 2.24
Si  0.5000  0.5000  0.5000  4 N 3.00, 8 F 3.09
N  0.0000  0.0000  0.5000  2 Cd 2.24
F  0.0000  0.5000  0.0000  2 Cd 2.12
F  0.5000  0.0000  0.0000  2 Cd 2.12

Calculated values
Size of the total moment (μB per formula unit): 0.728
Density (Mg/m³): 3.95
ΔE_f (raw) (eV per formula unit): 0.28
ΔE to the lowest computed polymorph (eV/f.u.): 5.36
Crystal system: tetragonal

The following is a DFT calculation (PBE) of NaLi3GeO4 after structural relaxation.

a = 10.2341 Å, b = 10.2341 Å, c = 10.2341 Å
α = 113.63°, β = 113.63°, γ = 101.44°
Last column: nearest neighbours and their distance in Å.
Positions (direct):
Na  0.1082  0.8228  0.7365  5 O 2.45-2.69
Na  0.1282  0.3918  0.2145  5 O 2.45-2.69
Na  0.3228  0.0863  0.7145  5 O 2.45-2.69
Na  0.4137  0.6282  0.2365  5 O 2.45-2.69
Na  0.5863  0.3718  0.7635  5 O 2.45-2.69
Na  0.6772  0.9137  0.2855  5 O 2.45-2.69
Na  0.8718  0.6082  0.7855  5 O 2.45-2.69
Na  0.8918  0.1772  0.2635  5 O 2.45-2.69
Li  0.0252  0.4654  0.6169  4 O 1.97-2.06
Li  0.0346  0.1515  0.5598  4 O 1.97-2.06
Li  0.0917  0.4748  0.9402  4 O 1.97-2.06
Li  0.1487  0.0779  0.1145  3 O 1.89-2.02
Li  0.1737  0.7873  0.0989  3 O 1.92-2.04
Li  0.1885  0.0748  0.4011  3 O 1.92-2.04
Li  0.2873  0.6885  0.6136  3 O 1.92-2.04
Li  0.3485  0.4083  0.8831  4 O 1.97-2.06
Li  0.4221  0.0367  0.0708  3 O 1.89-2.02
Li  0.4252  0.3263  0.1136  3 O 1.92-2.04
Li  0.4633  0.0341  0.3855  3 O 1.89-2.02
Li  0.4659  0.3513  0.4292  3 O 1.89-2.02
Li  0.5341  0.6487  0.5708  3 O 1.89-2.02
Li  0.5367  0.9659  0.6145  3 O 1.89-2.02
Li  0.5748  0.6737  0.8864  3 O 1.92-2.04
Li  0.5779  0.9633  0.9292  3 O 1.89-2.02
Li  0.6515  0.5917  0.1169  4 O 1.97-2.06
Li  0.7127  0.3115  0.3864  3 O 1.92-2.04
Li  0.8115  0.9252  0.5989  3 O 1.92-2.04
Li  0.8263  0.2127  0.9011  3 O 1.92-2.04
Li  0.8513  0.9221  0.8855  3 O 1.89-2.02
Li  0.9083  0.5252  0.0598  4 O 1.97-2.06
Li  0.9654  0.8485  0.4402  4 O 1.97-2.06
Li  0.9748  0.5346  0.3831  4 O 1.97-2.06
Ge  0.1196  0.1594  0.8927  4 O 1.78-1.79
Ge  0.2333  0.7731  0.3927  4 O 1.78-1.79
Ge  0.2731  0.3804  0.5398  4 O 1.78-1.79
Ge  0.3406  0.7333  0.9602  4 O 1.78-1.79
Ge  0.6594  0.2667  0.0398  4 O 1.78-1.79
Ge  0.7269  0.6196  0.4602  4 O 1.78-1.79
Ge  0.7667  0.2269  0.6073  4 O 1.78-1.79
Ge  0.8804  0.8406  0.1073  4 O 1.78-1.79
O  0.0187  0.8688  0.0466  1 Ge 1.78, 2 Li 1.92-1.94
O  0.0366  0.0337  0.6726  1 Ge 1.78, 1 Li 1.97
O  0.1166  0.7547  0.4802  1 Ge 1.78, 2 Li 1.97-1.98
O  0.1361  0.4634  0.4971  1 Ge 1.78, 1 Li 1.97
O  0.1364  0.6166  0.8619  1 Ge 1.78, 2 Li 1.97-1.98
O  0.1390  0.6361  0.1726  1 Ge 1.78, 1 Li 1.97
O  0.2255  0.3636  0.9802  1 Ge 1.78, 2 Li 1.97-1.98
O  0.2350  0.2379  0.3402  1 Ge 1.79, 1 Li 1.89
O  0.2547  0.2745  0.6381  1 Ge 1.78, 2 Li 1.97-1.98
O  0.2621  0.1023  0.9972  1 Ge 1.79, 1 Li 1.89
O  0.3223  0.9721  0.4534  1 Ge 1.78, 2 Li 1.92-1.94
O  0.3688  0.8223  0.8501  1 Ge 1.78, 2 Li 1.92-1.94
O  0.3948  0.7350  0.4972  1 Ge 1.79, 1 Li 1.89
O  0.3977  0.8948  0.1598  1 Ge 1.79, 1 Li 1.89
O  0.4663  0.6390  0.0029  1 Ge 1.78, 1 Li 1.97
O  0.4721  0.5187  0.6499  1 Ge 1.78, 2 Li 1.92-1.94
O  0.5279  0.4813  0.3501  1 Ge 1.78, 2 Li 1.92-1.94
O  0.5337  0.3610  0.9971  1 Ge 1.78, 1 Li 1.97
O  0.6023  0.1052  0.8402  1 Ge 1.79, 1 Li 1.89
O  0.6052  0.2650  0.5028  1 Ge 1.79, 1 Li 1.89
O  0.6312  0.1777  0.1499  1 Ge 1.78, 2 Li 1.92-1.94
O  0.6777  0.0279  0.5466  1 Ge 1.78, 2 Li 1.92-1.94
O  0.7379  0.8977  0.0028  1 Ge 1.79, 1 Li 1.89
O  0.7453  0.7255  0.3619  1 Ge 1.78, 2 Li 1.97-1.98
O  0.7650  0.7621  0.6598  1 Ge 1.79, 1 Li 1.89
O  0.7745  0.6364  0.0198  1 Ge 1.78, 2 Li 1.97-1.98
O  0.8610  0.3639  0.8274  1 Ge 1.78, 1 Li 1.97
O  0.8636  0.3834  0.1381  1 Ge 1.78, 2 Li 1.97-1.98
O  0.8639  0.5366  0.5029  1 Ge 1.78, 1 Li 1.97
O  0.8834  0.2453  0.5198  1 Ge 1.78, 2 Li 1.97-1.98
O  0.9634  0.9663  0.3274  1 Ge 1.78, 1 Li 1.97
O  0.9813  0.1312  0.9534  1 Ge 1.78, 2 Li 1.92-1.94

Calculated values
Size of the total moment (μB per formula unit): 0.000
Density (Mg/m³): 2.95
ΔE_f (raw) (eV per formula unit): -17.30
Crystal system: tetragonal

The following is a DFT calculation (PBE) of PmMg2Al3Au6 after structural relaxation.

a = 4.2407 Å, b = 4.2407 Å, c = 14.2326 Å
α = 90.00°, β = 90.00°, γ = 90.00°
Last column: nearest neighbours and their distance in Å.
Positions (direct):
Pm  0.0000  0.0000  0.0000  8 Al 3.26, 8 Au 3.42
Mg  0.0000  0.0000  0.3386  8 Au 3.00-3.01
Mg  0.0000  0.0000  0.6614  8 Au 3.00-3.01
Al  0.5000  0.5000  0.0894  1 Al 2.55, 4 Au 2.55
Al  0.5000  0.5000  0.5000  2 Au 2.38
Al  0.5000  0.5000  0.9106  1 Al 2.55, 4 Au 2.55
Au  0.0000  0.5000  0.1888  2 Al 2.55
Au  0.0000  0.5000  0.8112  2 Al 2.55
Au  0.5000  0.0000  0.1888  2 Al 2.55
Au  0.5000  0.0000  0.8112  2 Al 2.55
Au  0.5000  0.5000  0.3325  1 Al 2.38
Au  0.5000  0.5000  0.6675  1 Al 2.38

Calculated values
Size of the total moment (μB per formula unit): 0.000
Density (Mg/m³): 9.45
ΔE_f (eV per formula unit): -4.9
Crystal system: tetragonal

The following is a DFT calculation (PBE) of InAg4Ir after structural relaxation.

a = 5.3946 Å, b = 5.3946 Å, c = 5.3946 Å
α = 60.00°, β = 60.00°, γ = 60.00°
Last column: nearest neighbours and their distance in Å.
Positions (direct):
In  0.0000  0.0000  0.0000  12 Ag 3.16, 4 Ir 3.30
Ag  0.3753  0.3753  0.3753  6 Ag 2.69-2.70
Ag  0.3753  0.3753  0.8740  6 Ag 2.69-2.70
Ag  0.3753  0.8740  0.3753  6 Ag 2.69-2.70
Ag  0.8740  0.3753  0.3753  6 Ag 2.69-2.70
Ir  0.7500  0.7500  0.7500  12 Ag 3.16, 4 In 3.30

Calculated values
Size of the total moment (μB per formula unit): 0.000
Density (Mg/m³): 11.05
ΔE_f (eV per formula unit): 2.5
Crystal system: cubic

The following is a DFT calculation (PBE) of LaAsN2F after structural relaxation.

a = 4.7749 Å, b = 4.7749 Å, c = 4.4796 Å
α = 90.00°, β = 90.00°, γ = 90.00°
Last column: nearest neighbours and their distance in Å.
Positions (direct):
La  0.0000  0.0000  0.0000  2 F 2.24, 4 N 2.39
As  0.5000  0.5000  0.5000  8 N 3.27, 4 F 3.38
N  0.0000  0.5000  0.0000  2 La 2.39
N  0.5000  0.0000  0.0000  2 La 2.39
F  0.0000  0.0000  0.5000  2 La 2.24

Calculated values
Size of the total moment (μB per formula unit): 1.019
Density (Mg/m³): 4.24
ΔE_f (raw) (eV per formula unit): 1.12
ΔE to the lowest computed polymorph (eV/f.u.): 4.89
Crystal system: tetragonal

The following is a DFT calculation (PBE) of ErThBi after structural relaxation.

a = 4.5349 Å, b = 4.5349 Å, c = 8.9644 Å
α = 90.00°, β = 90.00°, γ = 90.00°
Last column: nearest neighbours and their distance in Å.
Positions (direct):
Er  0.2500  0.2500  0.1445  5 Bi 3.15-3.26
Er  0.7500  0.7500  0.8555  5 Bi 3.15-3.26
Th  0.2500  0.7500  0.5000  4 Th 3.21, 4 Bi 3.47
Th  0.7500  0.2500  0.5000  4 Th 3.21, 4 Bi 3.47
Bi  0.2500  0.2500  0.7928  5 Er 3.15-3.26, 4 Th 3.47
Bi  0.7500  0.7500  0.2072  5 Er 3.15-3.26, 4 Th 3.47

Calculated values
Size of the total moment (μB per formula unit): 0.000
Density (Mg/m³): 10.96
ΔE_f (eV per formula unit): -1.3
Crystal system: tetragonal

Repeat the third record exactly.
The following is a DFT calculation (PBE) of CdSiNF2 after structural relaxation.

a = 4.2485 Å, b = 4.2485 Å, c = 4.4795 Å
α = 90.00°, β = 90.00°, γ = 90.00°
Last column: nearest neighbours and their distance in Å.
Positions (direct):
Cd  0.0000  0.0000  0.0000  4 F 2.12, 2 N 2.24
Si  0.5000  0.5000  0.5000  4 N 3.00, 8 F 3.09
N  0.0000  0.0000  0.5000  2 Cd 2.24
F  0.0000  0.5000  0.0000  2 Cd 2.12
F  0.5000  0.0000  0.0000  2 Cd 2.12

Calculated values
Size of the total moment (μB per formula unit): 0.728
Density (Mg/m³): 3.95
ΔE_f (raw) (eV per formula unit): 0.28
ΔE to the lowest computed polymorph (eV/f.u.): 5.36
Crystal system: tetragonal

- Look up the density of the first one.
  5.77 Mg/m³